Below is Pr2VPbO6 after structural relaxation, with properties calculated at the PBE with a Hubbard U level.

POSCAR file:
```
Pr2VPbO6
1.0
5.5129 0.0000 0.0000
0.0000 5.5551 0.0000
0.0000 0.0000 5.5551
Pr V O Pb
2 1 6 1
Cartesian
5.3855 2.7776 0.0000
5.3855 0.0000 2.7776
3.3207 0.0000 0.0000
4.0931 1.2609 4.2942
1.5487 0.0000 0.0000
0.5887 2.7776 2.7776
4.0931 4.2942 1.2609
4.0931 4.2942 4.2942
4.0931 1.2609 1.2609
2.9387 2.7776 2.7776
```

Values from the calculation:
energy	-73.7	eV/f.u.
symmetry	P4mm
spin magnetization	1.0	μB/cell